## CrI2F (GGA+U)

Data for a relaxed CrI2F crystal.

Lattice parameters (Å, degrees): 7.491 7.491 6.584 55.33 55.33 90.00
Each line ends with the local moment (μB).
Sites, in units of the cell vectors:
I1 0.375 0.357 0.750  -0.31
I2 0.107 0.625 0.250  -0.29
I3 0.875 0.893 0.750  -0.29
I4 0.643 0.125 0.250  -0.31
F1 0.500 0.500 0.000  -0.29
F2 0.250 0.750 0.500  -0.29
Cr1 0.000 0.000 0.000  3.86
Cr2 0.750 0.250 0.500  3.86

Results
V	27.4	Å³ per atom
magnetization	3.0	μB/f.u.
excess energy over the best structure of this formula in the dataset	0.00	kcal/mol of atoms
symmetry	I-42d